Material: NpMnVO6
Method: DFT, PBE with a Hubbard U
State: relaxed

Summary:
The uncorrected energy is -155.7 eV per cell.

Lattice parameters (Å, degrees): 5.3313 5.3313 9.1730 90.00 90.00 120.00
Space group P-31c (No. 163)
Asymmetric unit:
Np  0.3333  0.6667  0.2500 (multiplicity 2)
Mn  0.0000  0.0000  0.0000 (multiplicity 2)
V  0.3333  0.6667  0.7500 (multiplicity 2)
O  0.0151  0.3592  0.6360 (multiplicity 12)